Density functional theory data (PBE) for CuBiPbO5 after structural relaxation.

abc: 6.617 9.865 7.771
angles: 90.00 115.01 90.00
Space group C2/c (No. 15)
Unique sites:
Cu (0.000, 0.084, 0.250)
Bi (0.000, 0.428, 0.250)
Pb (0.250, 0.250, 0.000)
O (0.000, 0.339, 0.750)
O (0.036, 0.219, 0.426)
O (0.240, 0.035, 0.904)

Summary:
Formation energy (no corrections)   -674 meV per atom
Crystal system   monoclinic
Total magnetization   0.0 μB/f.u.

=====

Density functional theory data (PBE) for Cu4Bi3PbSe4O4 after structural relaxation.

abc: 5.614 5.614 18.669
angles: 90.00 90.00 90.00
Space group I4mm (No. 107)
Unique sites:
Cu (0.249, 0.249, 0.000)
Bi (0.000, 0.000, 0.811)
Bi (0.000, 0.500, 0.183)
Pb (0.000, 0.000, 0.325)
Se (0.000, 0.000, 0.083)
Se (0.000, 0.000, 0.582)
Se (0.000, 0.500, 0.420)
O (0.245, 0.245, 0.746)

Summary:
Formation energy (no corrections)   -681 meV per atom
Crystal system   tetragonal
Total magnetization   0.0 μB/f.u.

=====

Density functional theory data (PBE) for Sr2YCu2BiPbO8 after structural relaxation.

abc: 3.780 3.780 30.871
angles: 90.00 90.00 90.00
Space group I4mm (No. 107)
Unique sites:
Sr (0.000, 0.000, 0.000)
Sr (0.000, 0.000, 0.233)
Y (0.000, 0.000, 0.118)
Cu (0.000, 0.000, 0.562)
Cu (0.000, 0.000, 0.672)
Bi (0.000, 0.000, 0.823)
Pb (0.000, 0.000, 0.416)
O (0.000, 0.000, 0.317)
O (0.000, 0.000, 0.488)
O (0.000, 0.000, 0.754)
O (0.000, 0.000, 0.917)
O (0.000, 0.500, 0.072)
O (0.000, 0.500, 0.168)

Summary:
Formation energy (no corrections)   -1788 meV per atom
Crystal system   tetragonal
Total magnetization   0.0 μB/f.u.

=====

Density functional theory data (PBE) for Cu2Bi2PdO6 after structural relaxation.

abc: 5.9419 5.9419 15.4262
angles: 90.00 90.00 120.00
Space group R-3m (No. 166, hexagonal axes)
Unique sites:
Cu (0.0000, 0.0000, 0.0829)
Bi (0.0000, 0.0000, 0.3025)
Pd (0.0000, 0.0000, 0.5000)
O (0.0384, 0.5192, 0.2584)

Summary:
Formation energy (no corrections)   -636 meV per atom
Crystal system   trigonal
Total magnetization   0.0 μB/f.u.

=====

Density functional theory data (PBE) for Pm2CuBiO6 after structural relaxation.

abc: 10.651 5.560 5.538
angles: 90.00 117.51 90.00
Space group C2/m (No. 12)
Unique sites:
Pm (0.244, 0.000, 0.206)
Cu (0.000, 0.500, 0.000)
Bi (0.000, 0.000, 0.500)
O (0.083, 0.264, 0.856)
O (0.230, 0.000, 0.602)

Summary:
Formation energy (no corrections)   -2034 meV per atom
Crystal system   monoclinic
Total magnetization   0.0 μB/f.u.

=====

Density functional theory data (PBE) for PmCuBiO4 after structural relaxation.

abc: 6.149 9.776 7.372
angles: 90.00 90.00 90.00
Space group Cmcm (No. 63)
Unique sites:
Pm (0.000, 0.000, 0.000)
Cu (0.000, 0.322, 0.250)
Bi (0.000, 0.341, 0.750)
O (0.000, 0.238, 0.023)
O (0.247, 0.496, 0.250)

Summary:
Formation energy (no corrections)   -1632 meV per atom
Crystal system   orthorhombic
Total magnetization   0.6 μB/f.u.

=====

Density functional theory data (PBE) for Pr2CuBiO5 after structural relaxation.

abc: 6.848 6.848 6.513
angles: 90.00 90.00 90.00
Space group P4/mbm (No. 127)
Unique sites:
Pr (0.174, 0.326, 0.000)
Cu (0.000, 0.000, 0.500)
Bi (0.000, 0.500, 0.500)
O (0.000, 0.000, 0.000)
O (0.146, 0.646, 0.233)

Summary:
Formation energy (no corrections)   -1714 meV per atom
Crystal system   tetragonal
Total magnetization   0.0 μB/f.u.

=====

Density functional theory data (PBE) for Pr2CuBiO6 after structural relaxation.

abc: 10.618 5.584 5.645
angles: 90.00 118.34 90.00
Space group C2/m (No. 12)
Unique sites:
Pr (0.243, 0.000, 0.210)
Cu (0.000, 0.500, 0.000)
Bi (0.000, 0.000, 0.500)
O (0.077, 0.264, 0.849)
O (0.233, 0.000, 0.612)

Summary:
Formation energy (no corrections)   -2009 meV per atom
Crystal system   monoclinic
Total magnetization   0.0 μB/f.u.